No. 1
# Gd2ZrZn

Crystalline Gd2ZrZn at its relaxed geometry (PBE-GGA, Alexandria).

## Properties
* E: -110.81 eV per cell
* E_form: 0.262 eV per atom

Lattice parameters (Å, degrees): 3.2937 3.2937 33.6332 90.00 90.00 120.00
Last column: nearest neighbours and their distance in Å.
Space group R-3m (No. 166, hexagonal axes)
Symmetry-distinct sites (fractional):
Gd 0.0000 0.0000 0.0949 [6 per cell]  3 Zn 3.07, 1 Zr 3.19, 6 Gd 3.29
Zr 0.0000 0.0000 0.0000 [3 per cell]  2 Gd 3.19, 6 Zr 3.29
Zn 0.0000 0.0000 0.5000 [3 per cell]  6 Gd 3.07, 6 Zn 3.29



No. 2
# BaAcSn4

Crystalline BaAcSn4 at its relaxed geometry (PBE-GGA, Alexandria).

## Properties
* E: -97.56 eV per cell
* E_form: -0.391 eV per atom

Lattice parameters (Å, degrees): 10.5700 17.6889 4.5756 90.00 90.00 90.00
Last column: nearest neighbours and their distance in Å.
Space group Pbam (No. 55)
Symmetry-distinct sites (fractional):
Ba 0.1219 0.0773 0.0000 [4 per cell]  10 Sn 3.52-3.85, 1 Ba 3.76
Ac 0.0899 0.3695 0.0000 [4 per cell]  10 Sn 3.51-3.82
Sn 0.0468 0.2215 0.5000 [4 per cell]  3 Sn 2.85-3.10
Sn 0.1288 0.5252 0.5000 [4 per cell]  3 Sn 2.86-3.11
Sn 0.1580 0.9039 0.5000 [4 per cell]  2 Sn 3.10-3.11
Sn 0.1804 0.6918 0.5000 [4 per cell]  3 Sn 2.85-3.00



No. 3
# VHgPbI6

Crystalline VHgPbI6 at its relaxed geometry (PBE-GGA, Alexandria).

## Properties
* E: -51.64 eV per cell

Lattice parameters (Å, degrees): 7.7819 13.4791 7.0361 90.00 90.06 90.00
Last column: nearest neighbours and their distance in Å.
Space group C2 (No. 5)
Symmetry-distinct sites (fractional):
V 0.0000 0.0000 0.0000 [2 per cell]  6 I 2.78
Hg 0.0000 0.3334 0.5000 [2 per cell]  6 I 3.39
Pb 0.0000 0.6668 0.0000 [2 per cell]  6 I 3.20
I 0.1387 0.8542 0.7660 [4 per cell]  1 V 2.78
I 0.1492 0.1424 0.7660 [4 per cell]  1 V 2.78
I 0.2115 0.5036 0.7660 [4 per cell]  1 V 2.78



No. 4
# Sr2Ag2Sn

Crystalline Sr2Ag2Sn at its relaxed geometry (PBE-GGA, Alexandria).

## Properties
* E: -29.93 eV per cell
* E_form: -0.380 eV per atom

Lattice parameters (Å, degrees): 8.1294 8.1294 4.4057 90.00 90.00 90.00
Last column: nearest neighbours and their distance in Å.
Space group P4/mbm (No. 127)
Symmetry-distinct sites (fractional):
Sr 0.1814 0.3186 0.0000 [4 per cell]  6 Ag 3.16-3.34
Ag 0.1211 0.6211 0.5000 [4 per cell]  1 Ag 2.78
Sn 0.0000 0.0000 0.5000 [2 per cell]  4 Ag 3.23



No. 5
# Cs3AcSm2S6

Crystalline Cs3AcSm2S6 at its relaxed geometry (PBE-GGA, Alexandria).

## Properties
* E: -125.69 eV per cell

Lattice parameters (Å, degrees): 7.4432 12.8901 8.4726 90.00 107.04 90.00
Last column: nearest neighbours and their distance in Å.
Space group C2/m (No. 12)
Symmetry-distinct sites (fractional):
Cs 0.0000 0.0000 0.0000 [2 per cell]  6 S 3.48-3.59
Cs 0.0000 0.3345 0.0000 [4 per cell]  6 S 3.48-3.59
Ac 0.0000 0.5000 0.5000 [2 per cell]  6 S 2.99-3.00
Sm 0.0000 0.1667 0.5000 [4 per cell]  6 S 2.86
S 0.2146 0.0000 0.6863 [4 per cell]  2 Sm 2.86, 1 Ac 2.99
S 0.2361 0.3262 0.6869 [8 per cell]  2 Sm 2.86, 1 Ac 3.00



No. 6
# BaHg2Pt

Crystalline BaHg2Pt at its relaxed geometry (PBE-GGA, Alexandria).

## Properties
* E: -38.68 eV per cell
* E_form: -0.276 eV per atom

Lattice parameters (Å, degrees): 7.5451 7.5451 7.5451 90.00 90.00 90.00
Last column: nearest neighbours and their distance in Å.
Space group Fm-3m (No. 225)
Symmetry-distinct sites (fractional):
Ba 0.0000 0.0000 0.0000 [4 per cell]  8 Hg 3.27
Hg 0.2500 0.2500 0.2500 [8 per cell]  4 Ba 3.27, 4 Pt 3.27
Pt 0.0000 0.0000 0.5000 [4 per cell]  8 Hg 3.27



How do the records compare in total magnetic moment? In the order shown, they have 46.1, 0.0, 3.6, 0.0, 0.0, 0.0 μB/cell.